# 1
4
Lattice="-4.1916 4.9690 -3.1153 -3.6561 2.1223 -5.8390 -3.2677 -1.8855 1.3281" Properties=species:S:1:pos:R:3 comment="ZnAgBr2 (PBE-GGA, optimized geometry)" raw_formation_energy_ev_per_atom=-0.211 polymorph_energy_mev_per_atom=34 pbc="T T T"
Br -10.6004 5.3665 -7.6929
Br -3.2473 1.0994 -1.7875
Zn -4.9411 2.6711 -3.7631
Ag -8.9996 3.8775 -5.8220

# 2
16
Lattice="12.0160 -0.5303 -2.8361 0.3064 7.1287 -0.0321 -8.8330 -3.1554 8.0494" Properties=species:S:1:pos:R:3 comment="Tb4PmNdTm2 (PBE-GGA, optimized geometry)" e_form_ev_per_atom=0.016 pbc="T T T"
Tm 6.0080 -0.2651 -1.4181
Tm -4.4165 -1.5777 4.0247
Tm 6.1612 3.2992 -1.4341
Tm 1.5916 -1.8429 2.6066
Tb 4.8416 3.3746 1.8595
Tb 4.6889 -0.1984 1.8741
Tb -1.1995 3.6413 3.3070
Tb -1.3522 0.0684 3.3216
Tb -5.5778 2.0581 7.3076
Tb 9.0674 1.3848 -2.1265
Tb -5.7228 -1.5077 7.3130
Tb 9.2122 4.9507 -2.1319
Nd 0.1532 3.5644 -0.0160
Nd 7.7527 1.4563 1.1724
Pm 3.1830 -3.6858 5.2132
Pm 1.7447 1.7215 2.5906

# 3
8
Lattice="5.6600 0.0000 0.0000 0.0000 5.6600 0.0000 2.8300 2.8300 5.5308" Properties=species:S:1:pos:R:3 comment="Sb2PH (PBE-GGA, optimized geometry)" polymorph_energy_mev_per_atom=0 pbc="T T T"
P 5.6600 2.8300 2.7654
P 0.0000 0.0000 0.0000
Sb 1.7658 4.2450 1.3827
Sb 4.2450 4.5958 4.1481
Sb 7.0749 6.7242 4.1481
Sb 3.8942 1.4150 1.3827
H 2.8300 2.8300 0.0000
H 2.8300 5.6600 2.7654

# 4
14
Lattice="-0.3981 1.1863 -7.9261 2.4443 -5.7422 -5.0440 -6.8812 -4.6589 -4.4135" Properties=species:S:1:pos:R:3 comment="Er3Se3I (PBE-GGA, optimized geometry)" raw_formation_energy_ev_per_atom=-1.357 pbc="T T T"
Er -0.2642 -5.6024 -10.7569
Er -1.9757 -1.5265 -9.1440
Er -4.5709 -3.6124 -6.6268
Er -4.2119 -4.3441 -11.2614
Er -0.6232 -4.8707 -6.1223
Er -2.8594 -7.6883 -8.2397
Se -2.0145 -2.4543 -6.5289
Se -2.8206 -6.7606 -10.8548
Se -4.6060 -2.5074 -9.2188
Se -3.2105 -5.9595 -6.0423
Se -0.2291 -6.7074 -8.1650
Se -1.6246 -3.2553 -11.3414
I -5.7298 -5.9827 -8.7313
I 0.8947 -3.2322 -8.6524

# 5
4
Lattice="-1.6816 -4.5298 -2.6511 3.2986 -2.4135 -3.6973 2.3095 -4.8740 1.1342" Properties=species:S:1:pos:R:3 comment="InTePbCl (PBE-GGA, optimized geometry)" raw_formation_energy_ev_per_atom=-0.478 polymorph_energy_mev_per_atom=65 pbc="T T T"
Cl 1.9633 -5.9086 -2.6071
Pb 0.9816 -2.9543 -1.3035
In 2.9449 -8.8630 -3.9106
Te 0.0000 0.0000 0.0000

# 6
14
Lattice="1.9537 6.7263 2.7879 -1.5700 0.6745 -7.3425 -6.0818 -2.5477 3.6542" Properties=species:S:1:pos:R:3 comment="Dy8IrPt5 (PBE-GGA, optimized geometry)" e_form_ev_per_atom=-1.067 pbc="T T T"
Pt 0.5271 2.6226 0.1260
Pt -3.2995 3.8764 -0.2191
Pt 0.5973 6.6480 0.4802
Pt -1.1857 5.8332 -3.0541
Pt -2.0641 2.0893 3.2211
Dy -6.9967 -1.1855 -1.4885
Dy -4.7568 -1.8103 1.7991
Dy -2.2129 0.8891 0.2312
Dy -1.4863 3.1235 -2.2974
Dy -1.2173 4.2989 1.6494
Dy -4.6885 2.2121 2.1408
Dy -4.0043 0.0717 -3.2935
Dy -5.4655 2.5390 -1.4762
Ir -4.8580 0.1081 -0.2336

# 7
32
Lattice="11.2466 0.0000 0.0000 0.0000 11.3832 0.0000 0.0000 0.0000 15.1864" Properties=species:S:1:pos:R:3 comment="BaSr (PBE-GGA, optimized geometry)" polymorph_energy_mev_per_atom=229 e_form_ev_per_atom=0.229 pbc="T T T"
Ba 5.6233 3.6295 0.0000
Ba 8.4350 4.9079 3.7966
Ba 2.8117 0.7837 11.3898
Ba 0.0000 9.3211 0.0000
Ba 2.8117 10.5995 3.7966
Ba 8.4350 0.7837 3.7966
Ba 2.8117 4.9079 11.3898
Ba 8.4350 10.5995 11.3898
Ba 8.4350 6.4753 11.3898
Ba 2.8117 6.4753 3.7966
Ba 5.6233 7.7537 0.0000
Ba 0.0000 2.0621 0.0000
Ba 5.6233 2.0621 7.5932
Ba 0.0000 7.7537 7.5932
Ba 0.0000 3.6295 7.5932
Ba 5.6233 9.3211 7.5932
Sr 9.2645 0.0000 7.5932
Sr 10.4171 2.8458 11.3898
Sr 7.6054 0.0000 0.0000
Sr 10.4171 8.5374 3.7966
Sr 6.4528 8.5374 3.7966
Sr 1.9821 0.0000 7.5932
Sr 1.9821 5.6916 0.0000
Sr 3.6412 5.6916 7.5932
Sr 4.7938 2.8458 3.7966
Sr 7.6054 5.6916 7.5932
Sr 3.6412 0.0000 0.0000
Sr 0.8295 8.5374 11.3898
Sr 4.7938 8.5374 11.3898
Sr 0.8295 2.8458 3.7966
Sr 6.4528 2.8458 11.3898
Sr 9.2645 5.6916 0.0000

# 8
5
Lattice="5.7256 0.0000 0.0000 0.0000 5.7256 0.0000 0.0000 0.0000 5.7256" Properties=species:S:1:pos:R:3 comment="Sr3SiPt (PBE-GGA, optimized geometry)" raw_formation_energy_ev_per_atom=-0.205 polymorph_energy_mev_per_atom=0 pbc="T T T"
Pt 0.0000 0.0000 0.0000
Si 2.8628 2.8628 2.8628
Sr 0.0000 2.8628 0.0000
Sr 0.0000 0.0000 2.8628
Sr 2.8628 0.0000 0.0000

# 9
5
Lattice="-3.8024 1.7446 1.7638 0.4376 -2.8673 3.7793 2.4456 3.1785 2.1283" Properties=species:S:1:pos:R:3 comment="LaFe2RuW (PBE-GGA, optimized geometry)" e_form_ev_per_atom=1.077 pbc="T T T"
Fe -1.9012 0.8723 0.8819
Fe 1.2228 1.5892 1.0642
La -0.4596 1.0279 3.8357
Ru 0.0000 0.0000 0.0000
W 0.2188 -1.4337 1.8897

# 10
3
Lattice="-2.2777 0.5046 -1.7159 2.4780 -0.9800 -1.1338 -1.9445 -5.8965 0.8471" Properties=species:S:1:pos:R:3 comment="TcRhCl (PBE-GGA, optimized geometry)" raw_formation_energy_ev_per_atom=0.188 polymorph_energy_mev_per_atom=0 pbc="T T T"
Tc -1.9952 -3.9410 -0.9543
Cl -1.9038 -5.7732 0.8294
Rh 0.2105 -2.5544 -1.0305

# 11
5
Lattice="4.0916 0.0000 0.0000 0.0000 4.0916 0.0000 0.0000 0.0000 4.0916" Properties=species:S:1:pos:R:3 comment="SnHPd3 (PBE-GGA, optimized geometry)" polymorph_energy_mev_per_atom=0 pbc="T T T"
Sn 2.0458 2.0458 2.0458
H 0.0000 0.0000 0.0000
Pd 0.0000 0.0000 2.0458
Pd 0.0000 2.0458 0.0000
Pd 2.0458 0.0000 0.0000

# 12
6
Lattice="3.5147 0.0000 0.0000 0.0000 3.5147 0.0000 0.0000 0.0000 13.9814" Properties=species:S:1:pos:R:3 comment="YHo4Al (PBE-GGA, optimized geometry)" polymorph_energy_mev_per_atom=0 e_form_ev_per_atom=-0.119 pbc="T T T"
Ho 0.0000 0.0000 8.8963
Ho 1.7573 1.7573 11.4491
Ho 0.0000 0.0000 5.0851
Ho 1.7573 1.7573 2.5323
Y 0.0000 0.0000 0.0000
Al 1.7573 1.7573 6.9907

# 13
4
Lattice="-4.9821 7.7061 8.3518 -5.9340 5.2182 9.5664 -3.2677 6.2378 10.2162" Properties=species:S:1:pos:R:3 comment="AsSe2Cl (PBE-GGA, optimized geometry)" raw_formation_energy_ev_per_atom=0.380 polymorph_energy_mev_per_atom=576 pbc="T T T"
As 0.0000 0.0000 0.0000
Cl -7.0919 9.5811 14.0672
Se -1.0411 1.4066 2.0652
Se -13.1426 17.7556 26.0693

# 14
4
Lattice="-0.5969 2.8521 3.8087 2.1634 -1.0546 4.1477 3.6376 2.7059 1.5628" Properties=species:S:1:pos:R:3 comment="HoPuCoCu (PBE-GGA, optimized geometry)" e_form_ev_per_atom=-0.020 pbc="T T T"
Cu 1.3010 1.1258 2.3798
Co 3.9031 3.3775 7.1394
Pu 0.0000 0.0000 0.0000
Ho 2.6021 2.2517 4.7596